# RbNaLiBr3

A geometry-optimized RbNaLiBr3 structure (PBE, Alexandria).

```
12
Lattice="10.321 -2.255 0.000 10.321 2.255 0.000 -1.670 0.000 8.208" Properties=species:S:1:pos:R:3 pbc="T T T"
Rb 2.188 0.000 3.647
Rb 16.783 0.000 4.562
Na 1.901 0.000 7.820
Na 17.070 0.000 0.388
Li 9.610 0.000 1.323
Li 9.361 0.000 6.885
Br -0.374 0.000 5.914
Br 5.384 0.000 1.977
Br 6.806 0.000 7.225
Br 12.165 0.000 0.983
Br 13.587 0.000 6.231
Br 19.345 0.000 2.294
```

## Properties
**Formation energy without anion corrections**: -153.4 kJ per mole of atoms
**Total energy**: -0.11491 hartree per atom
**M_tot**: 0.00 μB/cell

---

# Rb2NaLiBr

A geometry-optimized Rb2NaLiBr structure (PBE, Alexandria).

```
5
Lattice="7.126 0.000 0.000 0.000 7.126 0.000 0.000 0.000 5.095" Properties=species:S:1:pos:R:3 pbc="T T T"
Rb 0.000 3.563 0.000
Rb 3.563 0.000 0.000
Na 0.000 0.000 2.547
Li 3.563 3.563 2.547
Br 3.563 3.563 0.000
```

## Properties
**Formation energy without anion corrections**: -50.1 kJ per mole of atoms
**Total energy**: -0.06938 hartree per atom
**M_tot**: 0.00 μB/cell

---

# NaLiReBr6

A geometry-optimized NaLiReBr6 structure (PBE, Alexandria).

```
18
Lattice="6.831 0.000 0.000 -3.415 5.916 0.000 0.000 0.000 12.992" Properties=species:S:1:pos:R:3 pbc="T T T"
Na 0.000 0.000 0.000
Na 0.000 0.000 6.496
Li 0.000 3.944 3.248
Li 3.415 1.972 9.744
Re 0.000 3.944 9.744
Re 3.415 1.972 3.248
Br -1.127 2.207 8.276
Br -2.068 3.836 11.211
Br 1.127 2.207 11.211
Br -0.941 5.788 8.276
Br 2.474 0.127 1.781
Br 1.348 2.079 4.715
Br 2.068 3.836 8.276
Br 0.941 5.788 11.211
Br 4.356 0.127 4.715
Br 2.288 3.709 1.781
Br 5.483 2.079 1.781
Br 4.542 3.709 4.715
```

## Properties
**Formation energy without anion corrections**: -79.1 kJ per mole of atoms
**Total energy**: -0.13514 hartree per atom
**M_tot**: 6.00 μB/cell

---

# Na2Li2SBr2

A geometry-optimized Na2Li2SBr2 structure (PBE, Alexandria).

```
7
Lattice="6.752 -2.063 0.000 6.752 2.063 0.000 -3.169 0.000 6.336" Properties=species:S:1:pos:R:3 pbc="T T T"
Na 0.009 0.000 2.352
Na 10.326 0.000 3.985
Li 3.802 0.000 1.291
Li 6.533 0.000 5.046
S 5.168 0.000 3.168
Br 1.461 0.000 5.162
Br 8.874 0.000 1.175
```

## Properties
**Formation energy without anion corrections**: -130.3 kJ per mole of atoms
**Total energy**: -0.12280 hartree per atom
**M_tot**: 0.00 μB/cell

---

# NaLi2SBr

A geometry-optimized NaLi2SBr structure (PBE, Alexandria).

```
5
Lattice="4.600 0.000 0.000 0.000 4.600 0.000 0.000 0.000 5.443" Properties=species:S:1:pos:R:3 pbc="T T T"
Na 0.000 0.000 0.000
Li 0.000 2.300 2.722
Li 2.300 0.000 2.722
S 0.000 0.000 2.722
Br 2.300 2.300 0.000
```

## Properties
**Formation energy without anion corrections**: -122.2 kJ per mole of atoms
**Total energy**: -0.12700 hartree per atom
**M_tot**: 0.00 μB/cell

---

# NaLiSbBr6

A geometry-optimized NaLiSbBr6 structure (PBE, Alexandria).

```
9
Lattice="6.985 0.000 0.000 -3.492 6.049 0.000 0.000 0.000 6.669" Properties=species:S:1:pos:R:3 pbc="T T T"
Na 0.000 0.000 0.000
Li 0.000 4.033 3.335
Sb 3.492 2.016 3.335
Br 2.512 0.010 4.900
Br 1.264 2.171 1.769
Br 4.473 0.010 1.769
Br 2.245 3.869 4.900
Br 5.720 2.171 4.900
Br 4.740 3.869 1.769
```

## Properties
**Formation energy without anion corrections**: -88.5 kJ per mole of atoms
**Total energy**: -0.10473 hartree per atom
**M_tot**: 0.00 μB/cell

---

# Na2LiScBr6

A geometry-optimized Na2LiScBr6 structure (PBE, Alexandria).

```
10
Lattice="7.213 0.000 0.000 -3.606 6.251 0.000 -0.003 -4.159 6.327" Properties=species:S:1:pos:R:3 pbc="T T T"
Na 0.000 0.000 0.000
Na 0.000 4.174 3.019
Li 0.001 0.002 5.353
Sc 3.605 2.087 2.498
Br -1.417 2.379 1.031
Br 0.882 -2.196 4.135
Br 2.766 0.044 1.031
Br 1.460 1.871 4.137
Br 2.257 3.835 1.028
Br 4.867 0.339 4.139
```

## Properties
**Formation energy without anion corrections**: -153.7 kJ per mole of atoms
**Total energy**: -0.13544 hartree per atom
**M_tot**: 0.00 μB/cell

---

# NaLiSc2Br8

A geometry-optimized NaLiSc2Br8 structure (PBE, Alexandria).

```
12
Lattice="6.665 0.000 0.000 0.000 8.017 0.000 -0.846 0.000 6.836" Properties=species:S:1:pos:R:3 pbc="T T T"
Na 0.000 0.000 0.000
Li 0.000 4.009 0.000
Sc 2.910 2.034 3.418
Sc 2.910 5.983 3.418
Br 1.393 2.115 1.276
Br 1.393 5.902 1.276
Br 1.405 4.009 4.489
Br 1.442 0.000 4.461
Br 4.377 0.000 2.376
Br 4.414 4.009 2.348
Br 4.427 2.115 5.561
Br 4.427 5.902 5.561
```

## Properties
**Formation energy without anion corrections**: -155.4 kJ per mole of atoms
**Total energy**: -0.14885 hartree per atom
**M_tot**: 0.00 μB/cell

---

# NaLiSeBr2

A geometry-optimized NaLiSeBr2 structure (PBE, Alexandria).

```
5
Lattice="5.604 0.000 0.000 0.000 5.604 0.000 0.000 0.000 5.387" Properties=species:S:1:pos:R:3 pbc="T T T"
Na 0.000 0.000 0.000
Li 2.802 2.802 2.693
Se 0.000 0.000 2.693
Br 0.000 2.802 0.000
Br 2.802 0.000 0.000
```

## Properties
**Formation energy without anion corrections**: -38.4 kJ per mole of atoms
**Total energy**: -0.08858 hartree per atom
**M_tot**: 2.02 μB/cell
**Energy above the most stable polymorph in this dataset**: 261 meV per atom

---

# NaLiSeBr2

A geometry-optimized NaLiSeBr2 structure (PBE, Alexandria).

```
5
Lattice="5.325 0.000 0.000 0.000 5.325 0.000 0.000 0.000 4.869" Properties=species:S:1:pos:R:3 pbc="T T T"
Na 0.000 0.000 0.000
Li 2.662 2.662 2.435
Se 2.662 2.662 0.000
Br 0.000 2.662 2.435
Br 2.662 0.000 2.435
```

## Properties
**Formation energy without anion corrections**: -63.6 kJ per mole of atoms
**Total energy**: -0.09819 hartree per atom
**M_tot**: 1.93 μB/cell
**Energy above the most stable polymorph in this dataset**: 0 meV per atom

---

# NaLi2SeBr

A geometry-optimized NaLi2SeBr structure (PBE, Alexandria).

```
5
Lattice="4.794 0.000 0.000 0.000 4.794 0.000 0.000 0.000 5.635" Properties=species:S:1:pos:R:3 pbc="T T T"
Na 0.000 0.000 0.000
Li 0.000 2.397 2.817
Li 2.397 0.000 2.817
Se 0.000 0.000 2.817
Br 2.397 2.397 0.000
```

## Properties
**Formation energy without anion corrections**: -114.9 kJ per mole of atoms
**Total energy**: -0.11949 hartree per atom
**M_tot**: 0.00 μB/cell

---

# NaLi2SnBr6

A geometry-optimized NaLi2SnBr6 structure (PBE, Alexandria).

```
20
Lattice="7.183 -6.240 0.000 7.183 6.240 0.000 -2.079 0.000 7.194" Properties=species:S:1:pos:R:3 pbc="T T T"
Na 5.623 5.059 5.396
Na 6.663 -5.059 1.799
Li 1.299 1.113 5.638
Li 2.339 -1.113 2.041
Li 9.948 1.113 5.154
Li 10.988 -1.113 1.556
Sn 6.663 1.367 1.799
Sn 5.623 -1.367 5.396
Br 1.892 0.627 0.331
Br 4.739 3.014 2.741
Br 0.852 -0.627 3.928
Br 3.827 0.926 6.304
Br 8.587 3.014 0.856
Br 4.867 -0.926 2.707
Br 7.420 0.926 4.487
Br 3.699 -3.014 6.338
Br 8.459 -0.926 0.890
Br 11.434 0.627 3.266
Br 7.548 -3.014 4.453
Br 10.395 -0.627 6.864
```

## Properties
**Formation energy without anion corrections**: -108.2 kJ per mole of atoms
**Total energy**: -0.11170 hartree per atom
**M_tot**: 0.00 μB/cell

---

# Na2SrLiBr5

A geometry-optimized Na2SrLiBr5 structure (PBE, Alexandria).

```
18
Lattice="2.153 -9.784 0.000 2.153 9.784 0.000 0.000 0.000 13.611" Properties=species:S:1:pos:R:3 pbc="T T T"
Na 2.153 8.635 6.805
Na 2.153 7.704 2.644
Na 2.153 -7.704 9.449
Na 2.153 -8.635 0.000
Sr 2.153 5.560 12.324
Sr 2.153 -5.560 5.518
Li 2.153 1.455 3.751
Li 2.153 -1.455 10.557
Br 2.153 8.634 11.870
Br 2.153 3.999 3.394
Br 2.153 3.808 7.622
Br 2.153 2.517 11.897
Br 2.153 0.018 1.736
Br 2.153 -0.018 8.541
Br 2.153 -2.517 5.092
Br 2.153 -3.808 0.817
Br 2.153 -3.999 10.199
Br 2.153 -8.634 5.065
```

## Properties
**Formation energy without anion corrections**: -163.7 kJ per mole of atoms
**Total energy**: -0.12197 hartree per atom
**M_tot**: 0.00 μB/cell

---

# NaLiTb2Br8

A geometry-optimized NaLiTb2Br8 structure (PBE, Alexandria).

```
12
Lattice="6.929 0.000 0.000 0.000 8.450 0.000 -0.769 0.000 6.917" Properties=species:S:1:pos:R:3 pbc="T T T"
Na 0.000 0.000 0.000
Li 0.000 4.225 0.000
Tb 3.080 2.143 3.458
Tb 3.080 6.307 3.458
Br 1.253 2.245 1.357
Br 1.253 6.205 1.357
Br 1.611 4.225 4.734
Br 1.647 0.000 4.703
Br 4.513 0.000 2.214
Br 4.548 4.225 2.183
Br 4.907 2.245 5.560
Br 4.907 6.205 5.560
```

## Properties
**Formation energy without anion corrections**: -167.9 kJ per mole of atoms
**Total energy**: -0.14318 hartree per atom
**M_tot**: 0.00 μB/cell

---

# NaLi2TbBr6

A geometry-optimized NaLi2TbBr6 structure (PBE, Alexandria).

```
10
Lattice="3.551 2.050 6.520 -3.551 2.050 6.520 0.000 -4.101 6.520" Properties=species:S:1:pos:R:3 pbc="T T T"
Na 0.000 0.000 0.000
Li 0.000 0.000 5.860
Li 0.000 0.000 15.720
Tb 0.000 0.000 9.602
Br -2.167 -0.205 7.784
Br -1.269 -2.094 10.994
Br 1.261 -1.774 7.784
Br -1.179 2.146 10.994
Br 0.906 1.979 7.784
Br 2.448 -0.052 10.994
```

## Properties
**Formation energy without anion corrections**: -160.3 kJ per mole of atoms
**Total energy**: -0.13387 hartree per atom
**M_tot**: 0.00 μB/cell

---

# NaLiTcBr6

A geometry-optimized NaLiTcBr6 structure (PBE, Alexandria).

```
18
Lattice="6.824 0.000 0.000 -3.412 5.910 0.000 0.000 0.000 12.985" Properties=species:S:1:pos:R:3 pbc="T T T"
Na 0.000 0.000 0.000
Na 0.000 0.000 6.493
Li 0.000 3.940 3.246
Li 3.412 1.970 9.739
Tc 0.000 3.940 9.739
Tc 3.412 1.970 3.246
Br -1.132 2.205 8.270
Br -2.069 3.828 11.207
Br 1.132 2.205 11.207
Br -0.937 5.788 8.270
Br 2.475 0.122 1.778
Br 1.343 2.083 4.715
Br 2.069 3.828 8.270
Br 0.937 5.788 11.207
Br 4.349 0.122 4.715
Br 2.280 3.705 1.778
Br 5.481 2.083 1.778
Br 4.544 3.705 4.715
```

## Properties
**Formation energy without anion corrections**: -85.7 kJ per mole of atoms
**Total energy**: -0.12917 hartree per atom
**M_tot**: 6.00 μB/cell

---

# NaLiThBr6

A geometry-optimized NaLiThBr6 structure (PBE, Alexandria).

```
18
Lattice="7.178 0.000 0.000 -3.589 6.216 0.000 0.000 0.000 13.452" Properties=species:S:1:pos:R:3 pbc="T T T"
Na 0.000 0.000 0.000
Na 0.000 0.000 6.726
Li 0.000 4.144 3.363
Li 3.589 2.072 10.089
Th 0.000 4.144 10.089
Th 3.589 2.072 3.363
Br -1.230 2.204 1.758
Br -2.295 4.049 4.967
Br 1.230 2.204 4.967
Br -1.065 6.179 1.758
Br 2.524 0.037 8.484
Br 1.294 2.167 11.693
Br 2.295 4.049 1.758
Br 1.065 6.179 4.967
Br 4.654 0.037 11.693
Br 2.359 4.012 8.484
Br 5.884 2.167 8.484
Br 4.819 4.012 11.693
```

## Properties
**Formation energy without anion corrections**: -159.2 kJ per mole of atoms
**Total energy**: -0.14512 hartree per atom
**M_tot**: 0.00 μB/cell

---

# NaLi2TiBr6

A geometry-optimized NaLi2TiBr6 structure (PBE, Alexandria).

```
10
Lattice="3.448 1.991 6.353 -3.448 1.991 6.353 0.000 -3.981 6.353" Properties=species:S:1:pos:R:3 pbc="T T T"
Na 0.000 0.000 0.000
Li 0.000 0.000 5.764
Li 0.000 0.000 15.438
Ti 0.000 0.000 9.331
Br -2.057 -0.146 7.726
Br -1.129 -1.884 10.730
Br 1.155 -1.708 7.726
Br -1.067 1.919 10.730
Br 0.902 1.854 7.726
Br 2.196 -0.035 10.730
```

## Properties
**Formation energy without anion corrections**: -131.3 kJ per mole of atoms
**Total energy**: -0.13481 hartree per atom
**M_tot**: 1.00 μB/cell

---

# Na2LiTiBr6

A geometry-optimized Na2LiTiBr6 structure (PBE, Alexandria).

```
10
Lattice="3.583 2.069 6.244 -3.583 2.069 6.244 0.000 -4.137 6.244" Properties=species:S:1:pos:R:3 pbc="T T T"
Na 0.000 0.000 0.000
Na 0.000 0.000 9.199
Li 0.000 0.000 5.257
Ti 0.000 0.000 14.911
Br -1.458 -1.768 7.222
Br -2.741 -0.133 10.253
Br -0.802 2.147 7.222
Br 1.486 -2.307 10.253
Br 2.260 -0.379 7.222
Br 1.255 2.440 10.253
```

## Properties
**Formation energy without anion corrections**: -131.6 kJ per mole of atoms
**Total energy**: -0.13276 hartree per atom
**M_tot**: 1.00 μB/cell

---

# Na2LiTl3Br6

A geometry-optimized Na2LiTl3Br6 structure (PBE, Alexandria).

```
12
Lattice="3.808 -6.562 0.000 3.808 6.562 0.000 -2.533 0.000 7.523" Properties=species:S:1:pos:R:3 pbc="T T T"
Na 3.808 4.380 0.000
Na 3.808 -4.380 0.000
Li 3.808 0.000 0.000
Tl -1.266 0.000 3.762
Tl 2.542 2.241 3.762
Tl 2.542 -2.241 3.762
Br 0.067 2.078 5.967
Br 1.367 0.000 1.638
Br 0.067 -2.078 5.967
Br 5.018 2.078 1.556
Br 3.717 0.000 5.885
Br 5.018 -2.078 1.556
```

## Properties
**Formation energy without anion corrections**: -113.7 kJ per mole of atoms
**Total energy**: -0.10971 hartree per atom
**M_tot**: 0.00 μB/cell